--- w ---
Below is crystalline LiH2Cl2 at its relaxed geometry, with properties calculated at the PBE level.

Geometry as CIF:
```
data_LiH2Cl2
_space_group_name_H-M_alt 'C 1 2/m 1'
_space_group_IT_number 12
_cell_length_a 5.9694
_cell_length_b 4.3294
_cell_length_c 8.1959
_cell_angle_alpha 90.00
_cell_angle_beta 110.67
_cell_angle_gamma 90.00
loop_
_space_group_symop_operation_xyz
'x,y,z'
'-x,-y,-z'
'-x,y,-z'
'x,-y,z'
'x+1/2,y+1/2,z'
'-x+1/2,-y+1/2,-z'
'-x+1/2,y+1/2,-z'
'x+1/2,-y+1/2,z'
loop_
_atom_site_label
_atom_site_type_symbol
_atom_site_fract_x
_atom_site_fract_y
_atom_site_fract_z
Li1 Li 0.0000 0.0000 0.0000
H1 H 0.0621 0.0000 0.5338
Cl1 Cl 0.0392 0.5000 0.8511
```

--- x ---
Below is crystalline LiH2Cl2 at its relaxed geometry, with properties calculated at the PBE level.

Geometry as CIF:
```
data_LiH2Cl2
_space_group_name_H-M_alt 'C 1 2/m 1'
_space_group_IT_number 12
_cell_length_a 12.5661
_cell_length_b 3.8659
_cell_length_c 9.9884
_cell_angle_alpha 90.00
_cell_angle_beta 118.46
_cell_angle_gamma 90.00
loop_
_space_group_symop_operation_xyz
'x,y,z'
'-x,-y,-z'
'-x,y,-z'
'x,-y,z'
'x+1/2,y+1/2,z'
'-x+1/2,-y+1/2,-z'
'-x+1/2,y+1/2,-z'
'x+1/2,-y+1/2,z'
loop_
_atom_site_label
_atom_site_type_symbol
_atom_site_fract_x
_atom_site_fract_y
_atom_site_fract_z
Li1 Li 0.1634 0.0000 0.3790
H1 H 0.0337 0.5000 0.5247
H2 H 0.1557 0.5000 0.8086
Cl1 Cl 0.0773 0.5000 0.8576
Cl2 Cl 0.2446 0.0000 0.6499
```

Preferred: x; penalty for the next structure: 27.7 kJ/mol of atoms.

--- w ---
Below is crystalline Li2HClO at its relaxed geometry, with properties calculated at the PBE level.

Geometry as CIF:
```
data_Li2HClO
_space_group_name_H-M_alt 'P 4 m m'
_space_group_IT_number 99
_cell_length_a 3.8904
_cell_length_b 3.8904
_cell_length_c 4.1778
_cell_angle_alpha 90.00
_cell_angle_beta 90.00
_cell_angle_gamma 90.00
loop_
_space_group_symop_operation_xyz
'x,y,z'
'-y,x,z'
'-x,-y,z'
'y,-x,z'
'-x,y,z'
'y,x,z'
'x,-y,z'
'-y,-x,z'
loop_
_atom_site_label
_atom_site_type_symbol
_atom_site_fract_x
_atom_site_fract_y
_atom_site_fract_z
Li1 Li 0.0000 0.5000 0.0000
H1 H 0.0000 0.0000 0.3517
Cl1 Cl 0.5000 0.5000 0.6494
O1 O 0.0000 0.0000 0.1183
```

--- x ---
Below is crystalline Li2HClO at its relaxed geometry, with properties calculated at the PBE level.

Geometry as CIF:
```
data_Li2HClO
_space_group_name_H-M_alt 'P n m a'
_space_group_IT_number 62
_cell_length_a 9.8107
_cell_length_b 5.4823
_cell_length_c 5.6665
_cell_angle_alpha 90.00
_cell_angle_beta 90.00
_cell_angle_gamma 90.00
loop_
_space_group_symop_operation_xyz
'x,y,z'
'-x,-y,-z'
'-x+1/2,-y,z+1/2'
'x+1/2,y,-z+1/2'
'x+1/2,-y+1/2,-z+1/2'
'-x+1/2,y+1/2,z+1/2'
'-x,y+1/2,-z'
'x,-y+1/2,z'
loop_
_atom_site_label
_atom_site_type_symbol
_atom_site_fract_x
_atom_site_fract_y
_atom_site_fract_z
Li1 Li 0.1192 0.9998 0.0703
H1 H 0.0585 0.2500 0.7282
Cl1 Cl 0.2041 0.2500 0.3914
O1 O 0.0215 0.2500 0.8885
```

Preferred: x; penalty for the next structure: 2.3 kJ/mol of atoms.

--- w ---
Below is crystalline LiPHCl2 at its relaxed geometry, with properties calculated at the PBE level.

Geometry as CIF:
```
data_LiPHCl2
_space_group_name_H-M_alt 'P 4/m m m'
_space_group_IT_number 123
_space_group_name_Hall '-P 4 2'
_cell_length_a 4.9899
_cell_length_b 4.9899
_cell_length_c 3.2715
_cell_angle_alpha 90.00
_cell_angle_beta 90.00
_cell_angle_gamma 90.00
loop_
_atom_site_label
_atom_site_type_symbol
_atom_site_fract_x
_atom_site_fract_y
_atom_site_fract_z
Li1 Li 0.0000 0.0000 0.0000
P1 P 0.5000 0.5000 0.0000
H1 H 0.5000 0.5000 0.5000
Cl1 Cl 0.0000 0.5000 0.5000
```

--- x ---
Below is crystalline LiPHCl2 at its relaxed geometry, with properties calculated at the PBE level.

Geometry as CIF:
```
data_LiPHCl2
_space_group_name_H-M_alt 'P 4/m m m'
_space_group_IT_number 123
_space_group_name_Hall '-P 4 2'
_cell_length_a 4.7617
_cell_length_b 4.7617
_cell_length_c 4.9442
_cell_angle_alpha 90.00
_cell_angle_beta 90.00
_cell_angle_gamma 90.00
loop_
_atom_site_label
_atom_site_type_symbol
_atom_site_fract_x
_atom_site_fract_y
_atom_site_fract_z
Li1 Li 0.0000 0.0000 0.0000
P1 P 0.0000 0.0000 0.5000
H1 H 0.5000 0.5000 0.5000
Cl1 Cl 0.0000 0.5000 0.0000
```

Preferred: w; penalty for the next structure: 68.8 kJ/mol of atoms.

--- w ---
Below is crystalline MgHCl3 at its relaxed geometry, with properties calculated at the PBE level.

Geometry as CIF:
```
data_MgHCl3
_space_group_name_H-M_alt 'P m -3 m'
_space_group_IT_number 221
_space_group_name_Hall '-P 4 2 3'
_cell_length_a 4.9564
_cell_length_b 4.9564
_cell_length_c 4.9564
_cell_angle_alpha 90.00
_cell_angle_beta 90.00
_cell_angle_gamma 90.00
loop_
_atom_site_label
_atom_site_type_symbol
_atom_site_fract_x
_atom_site_fract_y
_atom_site_fract_z
Mg1 Mg 0.0000 0.0000 0.0000
H1 H 0.5000 0.5000 0.5000
Cl1 Cl 0.0000 0.0000 0.5000
```

--- x ---
Below is crystalline MgHCl3 at its relaxed geometry, with properties calculated at the PBE level.

Geometry as CIF:
```
data_MgHCl3
_space_group_name_H-M_alt 'P m -3 m'
_space_group_IT_number 221
_space_group_name_Hall '-P 4 2 3'
_cell_length_a 4.4285
_cell_length_b 4.4285
_cell_length_c 4.4285
_cell_angle_alpha 90.00
_cell_angle_beta 90.00
_cell_angle_gamma 90.00
loop_
_atom_site_label
_atom_site_type_symbol
_atom_site_fract_x
_atom_site_fract_y
_atom_site_fract_z
Mg1 Mg 0.0000 0.0000 0.0000
H1 H 0.5000 0.5000 0.5000
Cl1 Cl 0.0000 0.5000 0.5000
```

Preferred: w; penalty for the next structure: 17.1 kJ/mol of atoms.

--- w ---
Below is crystalline MgH3Cl at its relaxed geometry, with properties calculated at the PBE level.

Geometry as CIF:
```
data_MgH3Cl
_space_group_name_H-M_alt 'P m -3 m'
_space_group_IT_number 221
_space_group_name_Hall '-P 4 2 3'
_cell_length_a 3.9171
_cell_length_b 3.9171
_cell_length_c 3.9171
_cell_angle_alpha 90.00
_cell_angle_beta 90.00
_cell_angle_gamma 90.00
loop_
_atom_site_label
_atom_site_type_symbol
_atom_site_fract_x
_atom_site_fract_y
_atom_site_fract_z
Mg1 Mg 0.0000 0.0000 0.0000
H1 H 0.0000 0.0000 0.5000
Cl1 Cl 0.5000 0.5000 0.5000
```

--- x ---
Below is crystalline MgH3Cl at its relaxed geometry, with properties calculated at the PBE level.

Geometry as CIF:
```
data_MgH3Cl
_space_group_name_H-M_alt 'P m -3 m'
_space_group_IT_number 221
_space_group_name_Hall '-P 4 2 3'
_cell_length_a 3.8862
_cell_length_b 3.8862
_cell_length_c 3.8862
_cell_angle_alpha 90.00
_cell_angle_beta 90.00
_cell_angle_gamma 90.00
loop_
_atom_site_label
_atom_site_type_symbol
_atom_site_fract_x
_atom_site_fract_y
_atom_site_fract_z
Mg1 Mg 0.0000 0.0000 0.0000
H1 H 0.0000 0.5000 0.5000
Cl1 Cl 0.5000 0.5000 0.5000
```

Preferred: w; penalty for the next structure: 37.2 kJ/mol of atoms.

--- w ---
Below is crystalline MgH2Cl2O at its relaxed geometry, with properties calculated at the PBE level.

Geometry as CIF:
```
data_MgH2Cl2O
_space_group_name_H-M_alt 'P n m a'
_space_group_IT_number 62
_cell_length_a 8.9627
_cell_length_b 3.6822
_cell_length_c 11.5576
_cell_angle_alpha 90.00
_cell_angle_beta 90.00
_cell_angle_gamma 90.00
loop_
_space_group_symop_operation_xyz
'x,y,z'
'-x,-y,-z'
'-x+1/2,-y,z+1/2'
'x+1/2,y,-z+1/2'
'x+1/2,-y+1/2,-z+1/2'
'-x+1/2,y+1/2,z+1/2'
'-x,y+1/2,-z'
'x,-y+1/2,z'
loop_
_atom_site_label
_atom_site_type_symbol
_atom_site_fract_x
_atom_site_fract_y
_atom_site_fract_z
Mg1 Mg 0.1858 0.2500 0.0146
H1 H 0.0510 0.7500 0.6360
H2 H 0.1867 0.7500 0.7258
Cl1 Cl 0.0399 0.7500 0.1204
Cl2 Cl 0.1943 0.2500 0.4005
O1 O 0.1604 0.7500 0.6432
```

--- x ---
Below is crystalline MgH2Cl2O at its relaxed geometry, with properties calculated at the PBE level.

Geometry as CIF:
```
data_MgH2Cl2O
_space_group_name_H-M_alt 'C m c 21'
_space_group_IT_number 36
_cell_length_a 13.1543
_cell_length_b 6.3702
_cell_length_c 5.3861
_cell_angle_alpha 90.00
_cell_angle_beta 90.00
_cell_angle_gamma 90.00
loop_
_space_group_symop_operation_xyz
'x,y,z'
'-x,-y,z+1/2'
'-x,y,z'
'x,-y,z+1/2'
'x+1/2,y+1/2,z'
'-x+1/2,-y+1/2,z+1/2'
'-x+1/2,y+1/2,z'
'x+1/2,-y+1/2,z+1/2'
loop_
_atom_site_label
_atom_site_type_symbol
_atom_site_fract_x
_atom_site_fract_y
_atom_site_fract_z
Mg1 Mg 0.0000 0.1787 0.0000
H1 H 0.0603 0.2108 0.5203
Cl1 Cl 0.1400 0.2812 0.2267
O1 O 0.0000 0.1505 0.6207
```

Preferred: w; penalty for the next structure: 13.6 kJ/mol of atoms.

--- w ---
Below is crystalline MgPHCl2 at its relaxed geometry, with properties calculated at the PBE level.

Geometry as CIF:
```
data_MgPHCl2
_space_group_name_H-M_alt 'P 4/m m m'
_space_group_IT_number 123
_space_group_name_Hall '-P 4 2'
_cell_length_a 4.9819
_cell_length_b 4.9819
_cell_length_c 3.3668
_cell_angle_alpha 90.00
_cell_angle_beta 90.00
_cell_angle_gamma 90.00
loop_
_atom_site_label
_atom_site_type_symbol
_atom_site_fract_x
_atom_site_fract_y
_atom_site_fract_z
Mg1 Mg 0.0000 0.0000 0.0000
P1 P 0.5000 0.5000 0.0000
H1 H 0.5000 0.5000 0.5000
Cl1 Cl 0.0000 0.5000 0.5000
```

--- x ---
Below is crystalline MgPHCl2 at its relaxed geometry, with properties calculated at the PBE level.

Geometry as CIF:
```
data_MgPHCl2
_space_group_name_H-M_alt 'P 4/m m m'
_space_group_IT_number 123
_space_group_name_Hall '-P 4 2'
_cell_length_a 4.8825
_cell_length_b 4.8825
_cell_length_c 5.8677
_cell_angle_alpha 90.00
_cell_angle_beta 90.00
_cell_angle_gamma 90.00
loop_
_atom_site_label
_atom_site_type_symbol
_atom_site_fract_x
_atom_site_fract_y
_atom_site_fract_z
Mg1 Mg 0.0000 0.0000 0.0000
P1 P 0.0000 0.0000 0.5000
H1 H 0.5000 0.5000 0.5000
Cl1 Cl 0.0000 0.5000 0.0000
```

Preferred: w; penalty for the next structure: 15.6 kJ/mol of atoms.

--- w ---
Below is crystalline MnH2Cl2 at its relaxed geometry, with properties calculated at the PBE level.

Geometry as CIF:
```
data_MnH2Cl2
_space_group_name_H-M_alt 'C 1 2/m 1'
_space_group_IT_number 12
_cell_length_a 6.3986
_cell_length_b 3.7020
_cell_length_c 8.5198
_cell_angle_alpha 90.00
_cell_angle_beta 92.78
_cell_angle_gamma 90.00
loop_
_space_group_symop_operation_xyz
'x,y,z'
'-x,-y,-z'
'-x,y,-z'
'x,-y,z'
'x+1/2,y+1/2,z'
'-x+1/2,-y+1/2,-z'
'-x+1/2,y+1/2,-z'
'x+1/2,-y+1/2,z'
loop_
_atom_site_label
_atom_site_type_symbol
_atom_site_fract_x
_atom_site_fract_y
_atom_site_fract_z
Mn1 Mn 0.0000 0.0000 0.0000
H1 H 0.0508 0.0000 0.5240
Cl1 Cl 0.1767 0.5000 0.1632
```

--- x ---
Below is crystalline MnH2Cl2 at its relaxed geometry, with properties calculated at the PBE level.

Geometry as CIF:
```
data_MnH2Cl2
_space_group_name_H-M_alt 'C 1 2/m 1'
_space_group_IT_number 12
_cell_length_a 6.8956
_cell_length_b 7.4668
_cell_length_c 3.3665
_cell_angle_alpha 90.00
_cell_angle_beta 101.92
_cell_angle_gamma 90.00
loop_
_space_group_symop_operation_xyz
'x,y,z'
'-x,-y,-z'
'-x,y,-z'
'x,-y,z'
'x+1/2,y+1/2,z'
'-x+1/2,-y+1/2,-z'
'-x+1/2,y+1/2,-z'
'x+1/2,-y+1/2,z'
loop_
_atom_site_label
_atom_site_type_symbol
_atom_site_fract_x
_atom_site_fract_y
_atom_site_fract_z
Mn1 Mn 0.0000 0.0000 0.0000
H1 H 0.0000 0.2226 0.0000
Cl1 Cl 0.2373 0.0000 0.6016
```

Preferred: w; penalty for the next structure: 56.9 kJ/mol of atoms.

--- w ---
Below is crystalline MnH2Cl at its relaxed geometry, with properties calculated at the PBE level.

Geometry as CIF:
```
data_MnH2Cl
_space_group_name_H-M_alt 'F m -3 m'
_space_group_IT_number 225
_space_group_name_Hall '-F 4 2 3'
_cell_length_a 5.5871
_cell_length_b 5.5871
_cell_length_c 5.5871
_cell_angle_alpha 90.00
_cell_angle_beta 90.00
_cell_angle_gamma 90.00
loop_
_atom_site_label
_atom_site_type_symbol
_atom_site_fract_x
_atom_site_fract_y
_atom_site_fract_z
Mn1 Mn 0.0000 0.0000 0.0000
H1 H 0.2500 0.2500 0.2500
Cl1 Cl 0.0000 0.0000 0.5000
```

--- x ---
Below is crystalline MnH2Cl at its relaxed geometry, with properties calculated at the PBE level.

Geometry as CIF:
```
data_MnH2Cl
_space_group_name_H-M_alt 'I -4 2 d'
_space_group_IT_number 122
_space_group_name_Hall 'I -4 2bw'
_cell_length_a 6.7223
_cell_length_b 6.7223
_cell_length_c 4.8382
_cell_angle_alpha 90.00
_cell_angle_beta 90.00
_cell_angle_gamma 90.00
loop_
_atom_site_label
_atom_site_type_symbol
_atom_site_fract_x
_atom_site_fract_y
_atom_site_fract_z
Mn1 Mn 0.0000 0.0000 0.0000
H1 H 0.0021 0.2500 0.1250
Cl1 Cl 0.0000 0.0000 0.5000
```

Preferred: x; penalty for the next structure: 65.7 kJ/mol of atoms.

--- w ---
Below is crystalline MnHCl3 at its relaxed geometry, with properties calculated at the PBE level.

Geometry as CIF:
```
data_MnHCl3
_space_group_name_H-M_alt 'P m -3 m'
_space_group_IT_number 221
_space_group_name_Hall '-P 4 2 3'
_cell_length_a 4.4055
_cell_length_b 4.4055
_cell_length_c 4.4055
_cell_angle_alpha 90.00
_cell_angle_beta 90.00
_cell_angle_gamma 90.00
loop_
_atom_site_label
_atom_site_type_symbol
_atom_site_fract_x
_atom_site_fract_y
_atom_site_fract_z
Mn1 Mn 0.0000 0.0000 0.0000
H1 H 0.5000 0.5000 0.5000
Cl1 Cl 0.0000 0.5000 0.5000
```

--- x ---
Below is crystalline MnHCl3 at its relaxed geometry, with properties calculated at the PBE level.

Geometry as CIF:
```
data_MnHCl3
_space_group_name_H-M_alt 'P -1'
_space_group_IT_number 2
_cell_length_a 3.7164
_cell_length_b 8.9111
_cell_length_c 9.1192
_cell_angle_alpha 61.57
_cell_angle_beta 89.92
_cell_angle_gamma 85.58
loop_
_space_group_symop_operation_xyz
'x,y,z'
'-x,-y,-z'
loop_
_atom_site_label
_atom_site_type_symbol
_atom_site_fract_x
_atom_site_fract_y
_atom_site_fract_z
Mn1 Mn 0.2183 0.1640 0.3137
H1 H 0.2615 0.3693 0.9107
Cl1 Cl 0.2002 0.2059 0.9993
Cl2 Cl 0.2392 0.0586 0.6269
Cl3 Cl 0.3196 0.6282 0.7506
```

Preferred: x; penalty for the next structure: 100.0 kJ/mol of atoms.

--- w ---
Below is crystalline MnH2Cl8 at its relaxed geometry, with properties calculated at the PBE level.

Geometry as CIF:
```
data_MnH2Cl8
_space_group_name_H-M_alt 'C 1 2/m 1'
_space_group_IT_number 12
_cell_length_a 13.6911
_cell_length_b 8.6230
_cell_length_c 5.2859
_cell_angle_alpha 90.00
_cell_angle_beta 92.85
_cell_angle_gamma 90.00
loop_
_space_group_symop_operation_xyz
'x,y,z'
'-x,-y,-z'
'-x,y,-z'
'x,-y,z'
'x+1/2,y+1/2,z'
'-x+1/2,-y+1/2,-z'
'-x+1/2,y+1/2,-z'
'x+1/2,-y+1/2,z'
loop_
_atom_site_label
_atom_site_type_symbol
_atom_site_fract_x
_atom_site_fract_y
_atom_site_fract_z
Mn1 Mn 0.0000 0.0000 0.0000
H1 H 0.2371 0.5000 0.7987
Cl1 Cl 0.0832 0.1845 0.2198
Cl2 Cl 0.1198 0.0000 0.7194
Cl3 Cl 0.1437 0.5000 0.7527
```

--- x ---
Below is crystalline MnH2Cl8 at its relaxed geometry, with properties calculated at the PBE level.

Geometry as CIF:
```
data_MnH2Cl8
_space_group_name_H-M_alt 'C 1 2/m 1'
_space_group_IT_number 12
_cell_length_a 17.1963
_cell_length_b 4.8168
_cell_length_c 6.8451
_cell_angle_alpha 90.00
_cell_angle_beta 101.53
_cell_angle_gamma 90.00
loop_
_space_group_symop_operation_xyz
'x,y,z'
'-x,-y,-z'
'-x,y,-z'
'x,-y,z'
'x+1/2,y+1/2,z'
'-x+1/2,-y+1/2,-z'
'-x+1/2,y+1/2,-z'
'x+1/2,-y+1/2,z'
loop_
_atom_site_label
_atom_site_type_symbol
_atom_site_fract_x
_atom_site_fract_y
_atom_site_fract_z
Mn1 Mn 0.0000 0.0000 0.0000
H1 H 0.1762 0.5000 0.8610
Cl1 Cl 0.0580 0.5000 0.2937
Cl2 Cl 0.0632 0.0000 0.3245
Cl3 Cl 0.1206 0.0000 0.9152
Cl4 Cl 0.2377 0.0000 0.6722
```

Preferred: w; penalty for the next structure: 73.0 kJ/mol of atoms.